1.
A relaxed CaAg2Pb crystal, computed with GGA-PBE.

```
CaAg2Pb
1.0
3.8082 0.0000 0.0000
-1.9041 3.2980 0.0000
0.0000 0.0000 25.6651
Ca Ag Pb
3 6 3
Cartesian
0.0000 0.0000 0.0000
0.0000 2.1987 17.1101
1.9041 1.0993 8.5550
0.0000 0.0000 12.4296
0.0000 0.0000 19.2258
0.0000 2.1987 3.8746
0.0000 2.1987 10.6707
1.9041 1.0993 2.1157
1.9041 1.0993 20.9847
0.0000 0.0000 5.8843
0.0000 2.1987 22.9944
1.9041 1.0993 14.4393
```

Calculated values
**DFT formation energy**: 19 meV per atom
**Total magnetic moment**: 0.000 μB per cell
**SG**: R3m
**Crystal system**: trigonal

2.
A relaxed Rb5AuSeO2 crystal, computed with GGA-PBE.

```
Rb5AuSeO2
1.0
5.6552 0.0000 0.0000
0.0000 5.6552 0.0000
0.0000 0.0000 9.5154
Rb Au Se O
5 1 1 2
Cartesian
0.0000 0.0000 0.0000
0.0000 2.8276 2.4172
0.0000 2.8276 7.0981
2.8276 0.0000 2.4172
2.8276 0.0000 7.0981
0.0000 0.0000 4.7577
2.8276 2.8276 0.0000
0.0000 0.0000 2.7252
0.0000 0.0000 6.7901
```

Calculated values
**Total magnetic moment**: 0.000 μB per cell
**SG**: P4/mmm
**Crystal system**: tetragonal
**Formation energy (no corrections)**: -1.023 eV per atom